Computed, not measured: crystalline Tm2PaCo at its relaxed geometry at the PBE-GGA level of DFT.

abc: 6.6828 9.4315 6.1175
angles: 90.00 90.00 90.00
Space group Pnma (No. 62)
Inequivalent atoms, fractional coordinates:
Tm1 0.1775 0.0679 0.1686 x8
Pa1 0.0505 0.2500 0.6715 x4
Co1 0.1382 0.7500 0.9849 x4

Output
Energy of formation (eV per atom): -0.1920
Total energy (eV per cell): -105.251